<1>
The following is a DFT calculation (PBE) of MgTc3B after structural relaxation.

Geometry as POSCAR:
```
MgTc3B
1.0
-3.851 0.922 1.262
-0.222 -3.644 1.985
1.547 1.772 3.426
Mg B Tc
1 1 3
direct
0.500 0.500 0.500
0.000 0.000 0.000
0.000 0.500 0.000
0.000 0.000 0.500
0.500 0.000 0.000
```

Summary:
- space group = Pm-3m

***

<2>
The following is a DFT calculation (PBE) of MgTc3B after structural relaxation.

Geometry as POSCAR:
```
MgTc3B
1.0
-2.099 0.552 -3.840
3.673 -1.122 -2.169
-1.248 -4.230 0.074
Mg B Tc
1 1 3
direct
0.000 0.000 0.000
0.500 0.500 0.500
0.000 0.500 0.000
0.000 0.000 0.500
0.500 0.000 0.000
```

Summary:
- space group = Pm-3m

***

<1> has the most favorable energy; the next structure is 2642 meV/atom above.

***

<1>
The following is a DFT calculation (PBE) of Mg2TcB2 after structural relaxation.

Geometry as POSCAR:
```
Mg2TcB2
1.0
-0.195 4.455 3.722
-4.325 -2.595 2.880
2.422 -1.673 2.130
Mg B Tc
4 4 2
direct
0.186 0.686 0.500
0.686 0.814 0.500
0.814 0.314 0.500
0.314 0.186 0.500
0.396 0.896 0.000
0.896 0.604 0.000
0.604 0.104 0.000
0.104 0.396 0.000
0.000 0.000 0.000
0.500 0.500 0.000
```

Summary:
- space group = P4/mbm

***

<2>
The following is a DFT calculation (PBE) of Mg2TcB2 after structural relaxation.

Geometry as POSCAR:
```
Mg2TcB2
1.0
3.506 0.000 0.000
0.000 3.506 0.000
1.753 1.753 4.841
Mg B Tc
2 2 1
direct
0.750 0.250 0.500
0.250 0.750 0.500
0.417 0.417 0.166
0.583 0.583 0.834
0.000 0.000 0.000
```

Summary:
- space group = I4/mmm

***

<1> has the most favorable energy; the next structure is 289 meV/atom above.

***

<1>
The following is a DFT calculation (PBE) of Mg2BTe after structural relaxation.

Geometry as POSCAR:
```
Mg2BTe
1.0
3.844 2.771 0.795
-0.237 3.575 3.202
2.386 -0.336 4.157
Mg Te B
2 1 1
direct
0.250 0.250 0.250
0.750 0.750 0.750
0.500 0.500 0.500
0.000 0.000 0.000
```

Summary:
- space group = Fm-3m

***

<2>
The following is a DFT calculation (PBE) of Mg2BTe after structural relaxation.

Geometry as POSCAR:
```
Mg2BTe
1.0
-4.321 -5.818 1.001
5.740 -3.851 2.398
0.135 -3.919 4.543
Mg Te B
4 2 2
direct
0.552 0.125 0.250
0.198 0.625 0.250
0.375 0.448 0.750
0.875 0.802 0.750
0.000 0.000 0.000
0.750 0.250 0.500
0.500 0.500 0.000
0.250 0.750 0.500
```

Summary:
- space group = I-42d

***

<2> has the most favorable energy; the next structure is 248 meV/atom above.